# Mo2WSe4S2 (meta-GGA SCAN, PBEsol geometry)
# Energy above the most stable polymorph in this dataset ... 0.0192 eV per atom
# Raw formation energy ... -68 kJ/mol of atoms
# Symmetry ... P3m1 (156)
data_Mo2WSe4S2
_chemical_formula_sum 'Mo2 W1 Se4 S2'
_symmetry_space_group_name_H-M 'P 1'
_symmetry_Int_Tables_number 1
_cell_length_a 3.2240
_cell_length_b 3.2240
_cell_length_c 20.2950
_cell_angle_alpha 90.00
_cell_angle_beta 90.00
_cell_angle_gamma 120.00
loop_
_symmetry_equiv_pos_as_xyz
'x,y,z'
loop_
_atom_site_label
_atom_site_fract_x
_atom_site_fract_y
_atom_site_fract_z
Mo1 0.0000 0.0000 0.0000
Mo2 0.3333 0.6667 0.3148
W1 0.3333 0.6667 0.6843
Se1 0.0000 0.0000 0.2319
Se2 0.0000 0.0000 0.3976
Se3 0.0000 0.0000 0.6008
Se4 0.0000 0.0000 0.7679
S1 0.3333 0.6667 0.0754
S2 0.3333 0.6667 0.9246

# KZrMo (meta-GGA SCAN, PBEsol geometry)
# Symmetry ... F-43m (216)
# Total DFT energy (no corrections) ... -22.50 eV per atom
data_KZrMo
_chemical_formula_sum 'K1 Zr1 Mo1'
_symmetry_space_group_name_H-M 'P 1'
_symmetry_Int_Tables_number 1
_cell_length_a 4.7337
_cell_length_b 4.7337
_cell_length_c 4.7337
_cell_angle_alpha 60.00
_cell_angle_beta 60.00
_cell_angle_gamma 60.00
loop_
_symmetry_equiv_pos_as_xyz
'x,y,z'
loop_
_atom_site_label
_atom_site_fract_x
_atom_site_fract_y
_atom_site_fract_z
K1 0.0000 0.0000 0.0000
Zr1 0.7500 0.7500 0.7500
Mo1 0.5000 0.5000 0.5000

# Ti3RhO (meta-GGA SCAN, PBEsol geometry)
# Raw formation energy ... 52 kJ/mol of atoms
# Symmetry ... Pm-3m (221)
data_Ti3RhO
_chemical_formula_sum 'Ti3 Rh1 O1'
_symmetry_space_group_name_H-M 'P 1'
_symmetry_Int_Tables_number 1
_cell_length_a 4.6299
_cell_length_b 4.6299
_cell_length_c 4.6299
_cell_angle_alpha 90.00
_cell_angle_beta 90.00
_cell_angle_gamma 90.00
loop_
_symmetry_equiv_pos_as_xyz
'x,y,z'
loop_
_atom_site_label
_atom_site_fract_x
_atom_site_fract_y
_atom_site_fract_z
Ti1 0.0000 0.0000 0.5000
Ti2 0.0000 0.5000 0.0000
Ti3 0.5000 0.0000 0.0000
Rh1 0.0000 0.0000 0.0000
O1 0.5000 0.5000 0.5000

# ReSnBr2 (meta-GGA SCAN, PBEsol geometry)
# Raw formation energy ... 65 kJ/mol of atoms
# Symmetry ... R-3m (166)
data_ReSnBr2
_chemical_formula_sum 'Re1 Sn1 Br2'
_symmetry_space_group_name_H-M 'P 1'
_symmetry_Int_Tables_number 1
_cell_length_a 10.9384
_cell_length_b 10.9384
_cell_length_c 10.9384
_cell_angle_alpha 16.75
_cell_angle_beta 16.75
_cell_angle_gamma 16.75
loop_
_symmetry_equiv_pos_as_xyz
'x,y,z'
loop_
_atom_site_label
_atom_site_fract_x
_atom_site_fract_y
_atom_site_fract_z
Re1 0.0000 0.0000 0.0000
Sn1 0.5000 0.5000 0.5000
Br1 0.3899 0.3899 0.3899
Br2 0.6101 0.6101 0.6101

# BeZnRh (meta-GGA SCAN, PBEsol geometry)
# Energy above the most stable polymorph in this dataset ... 0.0879 eV per atom
# Symmetry ... P3m1 (156)
data_BeZnRh
_chemical_formula_sum 'Be1 Zn1 Rh1'
_symmetry_space_group_name_H-M 'P 1'
_symmetry_Int_Tables_number 1
_cell_length_a 3.8438
_cell_length_b 3.8438
_cell_length_c 2.7104
_cell_angle_alpha 90.00
_cell_angle_beta 90.00
_cell_angle_gamma 120.00
loop_
_symmetry_equiv_pos_as_xyz
'x,y,z'
loop_
_atom_site_label
_atom_site_fract_x
_atom_site_fract_y
_atom_site_fract_z
Be1 0.0000 0.0000 0.0000
Zn1 0.6667 0.3333 0.0708
Rh1 0.3333 0.6667 0.5605

# OsSeI2O (meta-GGA SCAN, PBEsol geometry)
# Raw formation energy ... 28 kJ/mol of atoms
# Symmetry ... P4/mmm (123)
data_OsSeI2O
_chemical_formula_sum 'Os1 Se1 I2 O1'
_symmetry_space_group_name_H-M 'P 1'
_symmetry_Int_Tables_number 1
_cell_length_a 5.4610
_cell_length_b 5.4610
_cell_length_c 3.7014
_cell_angle_alpha 90.00
_cell_angle_beta 90.00
_cell_angle_gamma 90.00
loop_
_symmetry_equiv_pos_as_xyz
'x,y,z'
loop_
_atom_site_label
_atom_site_fract_x
_atom_site_fract_y
_atom_site_fract_z
Os1 0.0000 0.0000 0.0000
Se1 0.5000 0.5000 0.5000
I1 0.0000 0.5000 0.0000
I2 0.5000 0.0000 0.0000
O1 0.0000 0.0000 0.5000